1.
This record from Alexandria describes a relaxed CuNi2Ge2 crystal. The functional is PBE-GGA.

Output
Energy above the most stable polymorph in this dataset ... 142 meV/atom

Cell: 6.778 6.778 2.897 Å, 90.00 90.00 90.00°
Space group P4/mbm (No. 127)
Asymmetric unit:
Cu  0.000  0.000  0.000 [2 per cell]
Ni  0.135  0.365  0.000 [4 per cell]
Ge  0.165  0.665  0.500 [4 per cell]

=====

2.
This record from Alexandria describes a relaxed CeMgHgRu crystal. The functional is PBE-GGA.

Cell: 6.961 6.961 6.961 Å, 90.00 90.00 90.00°
Space group F-43m (No. 216)
Asymmetric unit:
Ce  0.000  0.000  0.000 [4 per cell]
Mg  0.000  0.000  0.500 [4 per cell]
Hg  0.250  0.250  0.250 [4 per cell]
Ru  0.250  0.250  0.750 [4 per cell]

=====

3.
This record from Alexandria describes a relaxed FeCu2Ag crystal. The functional is PBE-GGA.

Output
Energy above the most stable polymorph in this dataset ... 411 meV/atom

Cell: 3.642 3.642 18.097 Å, 90.00 90.00 90.00°
Space group I-42d (No. 122)
Asymmetric unit:
Fe  0.000  0.000  0.000 [4 per cell]
Cu  0.241  0.250  0.125 [8 per cell]
Ag  0.000  0.000  0.500 [4 per cell]

=====

4.
This record from Alexandria describes a relaxed Dy3As2Rh5Au2 crystal. The functional is PBE-GGA.

Cell: 4.084 4.084 26.660 Å, 90.00 90.00 90.00°
Space group I4/mmm (No. 139)
Asymmetric unit:
Dy  0.000  0.000  0.000 [2 per cell]
Dy  0.000  0.000  0.160 [4 per cell]
As  0.000  0.000  0.372 [4 per cell]
Rh  0.000  0.000  0.500 [2 per cell]
Rh  0.000  0.500  0.078 [8 per cell]
Au  0.000  0.000  0.272 [4 per cell]

=====

5.
This record from Alexandria describes a relaxed Pm2SmDy3Er6 crystal. The functional is PBE-GGA.

Cell: 6.154 10.650 11.716 Å, 90.00 100.04 90.00°
Space group C2/m (No. 12)
Asymmetric unit:
Pm  0.000  0.167  0.000 [4 per cell]
Sm  0.000  0.500  0.000 [2 per cell]
Dy  0.000  0.000  0.500 [2 per cell]
Dy  0.000  0.333  0.500 [4 per cell]
Er  0.248  0.167  0.747 [8 per cell]
Er  0.248  0.500  0.747 [4 per cell]

=====

6.
This record from Alexandria describes a relaxed Na2Cu5As4 crystal. The functional is PBE-GGA.

Cell: 5.396 11.840 13.343 Å, 90.00 90.00 90.00°
Space group Fmmm (No. 69)
Asymmetric unit:
Na  0.000  0.153  0.000 [8 per cell]
Cu  0.000  0.000  0.500 [4 per cell]
Cu  0.250  0.000  0.250 [8 per cell]
Cu  0.250  0.250  0.250 [8 per cell]
As  0.000  0.128  0.358 [16 per cell]

=====

7.
This record from Alexandria describes a relaxed NpGaFeCo crystal. The functional is PBE-GGA.

Cell: 6.219 6.219 6.219 Å, 90.00 90.00 90.00°
Space group F-43m (No. 216)
Asymmetric unit:
Np  0.000  0.000  0.000 [4 per cell]
Ga  0.000  0.000  0.500 [4 per cell]
Fe  0.250  0.250  0.750 [4 per cell]
Co  0.250  0.250  0.250 [4 per cell]

=====

8.
This record from Alexandria describes a relaxed Be2SnPb crystal. The functional is PBE-GGA.

Output
Energy above the most stable polymorph in this dataset ... 0 meV/atom

Cell: 4.651 4.651 15.484 Å, 90.00 90.00 90.00°
Space group I-42d (No. 122)
Asymmetric unit:
Be  0.209  0.250  0.125 [8 per cell]
Sn  0.000  0.000  0.000 [4 per cell]
Pb  0.000  0.000  0.500 [4 per cell]

=====

no.,ΔH_f (0 K) (meV per atom)
1,-74
2,-100
3,581
4,-828
5,19
6,-70
7,-62
8,538